1.
First-principles (GGA-PBE) data for AgPdSO after structural relaxation, as listed in OQMD.

Values from the calculation:
**Raw total energy**: -4.452 eV per atom
**Volume**: 64.55 Å³/f.u.
**Space-group type**: P2_12_12_1, No. 19
**E above lowest polymorph**: 0.000 eV per atom

abc: 6.360 6.366 6.378
angles: 90.00 90.00 90.00
Element x y z (fractional)
Ag1 0.002 0.198 0.029
Ag2 0.498 0.802 0.529
Ag3 0.502 0.302 0.971
Ag4 0.998 0.698 0.471
Pd1 0.249 0.250 0.500
Pd2 0.251 0.750 0.000
Pd3 0.749 0.250 0.500
Pd4 0.751 0.750 0.000
S1 0.001 0.537 0.834
S2 0.499 0.463 0.334
S3 0.501 0.963 0.166
S4 0.999 0.037 0.666
O1 0.001 0.865 0.164
O2 0.499 0.135 0.664
O3 0.501 0.635 0.836
O4 0.999 0.365 0.336

---

2.
First-principles (GGA-PBE) data for TbGd2P3 after structural relaxation, as listed in OQMD.

Values from the calculation:
**Raw total energy**: -6.637 eV per atom
**Volume**: 140.25 Å³/f.u.
**Space-group type**: P-3m1, No. 164

abc: 4.041 4.041 9.919
angles: 90.00 90.00 120.00
Element x y z (fractional)
Tb1 0.000 0.000 0.000
Gd1 0.333 0.667 0.333
Gd2 0.667 0.333 0.667
P1 0.000 0.000 0.500
P2 0.333 0.667 0.834
P3 0.667 0.333 0.166

---

3.
First-principles (GGA-PBE) data for DyPuRe after structural relaxation, as listed in OQMD.

Values from the calculation:
**Raw total energy**: -10.066 eV per atom
**Volume**: 75.64 Å³/f.u.
**Formation energy**: 0.317 eV/atom
**Space-group type**: F-43m, No. 216
**E above lowest polymorph**: 0.000 eV per atom

abc: 4.747 4.747 4.747
angles: 60.00 60.00 60.00
Element x y z (fractional)
Dy1 0.000 0.000 0.000
Pu1 0.500 0.500 0.500
Re1 0.750 0.750 0.750

---

4.
First-principles (GGA-PBE) data for HoAl5Ag7 after structural relaxation, as listed in OQMD.

Values from the calculation:
**Raw total energy**: -3.517 eV per atom
**Volume**: 229.38 Å³/f.u.
**Space-group type**: Imm2, No. 44

abc: 7.064 7.064 7.064
angles: 135.27 97.64 99.01
Element x y z (fractional)
Ho1 0.000 0.000 0.000
Al1 0.001 0.498 0.006
Al2 0.001 0.996 0.503
Al3 0.493 0.498 0.497
Al4 0.493 0.996 0.994
Al5 0.776 0.276 0.500
Ag1 0.197 0.493 0.705
Ag2 0.221 0.721 0.500
Ag3 0.346 0.346 0.000
Ag4 0.347 0.004 0.343
Ag5 0.661 0.004 0.657
Ag6 0.666 0.666 0.000
Ag7 0.788 0.493 0.295

---

5.
First-principles (GGA-PBE) data for LiAsPtO after structural relaxation, as listed in OQMD.

Values from the calculation:
**Raw total energy**: -5.053 eV per atom
**Volume**: 51.77 Å³/f.u.
**Space-group type**: P4/nmm, No. 129
**E above lowest polymorph**: 0.000 eV per atom

abc: 3.902 3.902 6.801
angles: 90.00 90.00 90.00
Element x y z (fractional)
Li1 0.250 0.250 0.109
Li2 0.750 0.750 0.891
As1 0.250 0.250 0.752
As2 0.750 0.750 0.248
Pt1 0.250 0.750 0.500
Pt2 0.750 0.250 0.500
O1 0.250 0.750 0.000
O2 0.750 0.250 0.000

---

6.
First-principles (GGA-PBE) data for AcHfZn after structural relaxation, as listed in OQMD.

Values from the calculation:
**Raw total energy**: -4.671 eV per atom
**Volume**: 86.90 Å³/f.u.
**Formation energy**: 0.438 eV/atom
**Space-group type**: F-43m, No. 216
**E above lowest polymorph**: 0.000 eV per atom

abc: 4.972 4.972 4.972
angles: 60.00 60.00 60.00
Element x y z (fractional)
Ac1 0.000 0.000 0.000
Hf1 0.500 0.500 0.500
Zn1 0.250 0.250 0.250

---

7.
First-principles (GGA-PBE) data for GdSiHO4 after structural relaxation, as listed in OQMD.

Values from the calculation:
**Raw total energy**: -7.364 eV per atom
**Volume**: 72.63 Å³/f.u.
**Space-group type**: Pnma, No. 62
**E above lowest polymorph**: 0.108 eV per atom

abc: 9.186 6.506 4.861
angles: 90.00 90.00 90.00
Element x y z (fractional)
Gd1 0.208 0.250 0.195
Gd2 0.292 0.750 0.695
Gd3 0.708 0.250 0.305
Gd4 0.792 0.750 0.805
Si1 0.041 0.750 0.211
Si2 0.459 0.250 0.711
Si3 0.541 0.750 0.289
Si4 0.959 0.250 0.789
H1 0.000 0.000 0.500
H2 0.000 0.500 0.500
H3 0.500 0.000 0.000
H4 0.500 0.500 0.000
O1 0.073 0.750 0.886
O2 0.111 0.550 0.376
O3 0.111 0.950 0.376
O4 0.134 0.250 0.749
O5 0.366 0.750 0.249
O6 0.389 0.050 0.876
O7 0.389 0.450 0.876
O8 0.427 0.250 0.386
O9 0.573 0.750 0.614
O10 0.611 0.550 0.124
O11 0.611 0.950 0.124
O12 0.634 0.250 0.751
O13 0.866 0.750 0.251
O14 0.889 0.050 0.624
O15 0.889 0.450 0.624
O16 0.927 0.250 0.114

---

8.
First-principles (GGA-PBE) data for Sn2Mo2As after structural relaxation, as listed in OQMD.

Values from the calculation:
**Raw total energy**: -6.204 eV per atom
**Volume**: 101.98 Å³/f.u.
**Space-group type**: I4/mmm, No. 139

abc: 7.281 7.281 7.281
angles: 149.02 149.02 44.39
Element x y z (fractional)
Sn1 0.250 0.750 0.500
Sn2 0.750 0.250 0.500
Mo1 0.095 0.095 0.000
Mo2 0.905 0.905 0.000
As1 0.500 0.500 0.000

---

9.
First-principles (GGA-PBE) data for ZnFeNiGe after structural relaxation, as listed in OQMD.

Values from the calculation:
**Raw total energy**: -4.849 eV per atom
**Volume**: 49.37 Å³/f.u.
**Space-group type**: F-43m, No. 216
**E above lowest polymorph**: 0.182 eV per atom

abc: 4.118 4.118 4.118
angles: 60.00 60.00 60.00
Element x y z (fractional)
Zn1 0.000 0.000 0.000
Fe1 0.500 0.500 0.500
Ni1 0.250 0.250 0.250
Ge1 0.750 0.750 0.750

---

10.
First-principles (GGA-PBE) data for Bi2W after structural relaxation, as listed in OQMD.

Values from the calculation:
**Raw total energy**: -5.061 eV per atom
**Volume**: 81.94 Å³/f.u.
**Space-group type**: Fd-3m, No. 227
**E above lowest polymorph**: 1.466 eV per atom

abc: 6.142 6.142 6.142
angles: 60.00 60.00 60.00
Element x y z (fractional)
Bi1 0.000 0.000 0.000
Bi2 0.000 0.000 0.500
Bi3 0.000 0.500 0.000
Bi4 0.500 0.000 0.000
W1 0.375 0.375 0.375
W2 0.625 0.625 0.625

---

11.
First-principles (GGA-PBE) data for LaTbSbBr2 after structural relaxation, as listed in OQMD.

Values from the calculation:
**Raw total energy**: -4.957 eV per atom
**Volume**: 181.08 Å³/f.u.
**Space-group type**: P3m1, No. 156

abc: 4.348 4.348 11.058
angles: 90.00 90.00 120.00
Element x y z (fractional)
La1 0.000 0.000 0.000
Tb1 0.667 0.333 0.676
Sb1 0.333 0.667 0.828
Br1 0.000 0.000 0.525
Br2 0.667 0.333 0.164

---

12.
First-principles (GGA-PBE) data for SrTmNO after structural relaxation, as listed in OQMD.

Values from the calculation:
**Raw total energy**: -6.803 eV per atom
**Volume**: 75.40 Å³/f.u.
**Space-group type**: P4/nmm, No. 129
**E above lowest polymorph**: 0.211 eV per atom

abc: 4.572 4.572 7.213
angles: 90.00 90.00 90.00
Element x y z (fractional)
Sr1 0.250 0.750 0.000
Sr2 0.750 0.250 0.000
Tm1 0.250 0.250 0.427
Tm2 0.750 0.750 0.573
N1 0.250 0.250 0.141
N2 0.750 0.750 0.859
O1 0.250 0.750 0.500
O2 0.750 0.250 0.500

---

13.
First-principles (GGA-PBE) data for InNiHgW after structural relaxation, as listed in OQMD.

Values from the calculation:
**Raw total energy**: -4.605 eV per atom
**Volume**: 69.70 Å³/f.u.
**Space-group type**: F-43m, No. 216

abc: 4.619 4.619 4.619
angles: 60.00 60.00 60.00
Element x y z (fractional)
In1 0.000 0.000 0.000
Ni1 0.250 0.250 0.250
Hg1 0.750 0.750 0.750
W1 0.500 0.500 0.500

---

14.
First-principles (GGA-PBE) data for BaZnHgS3 after structural relaxation, as listed in OQMD.

Values from the calculation:
**Raw total energy**: -3.413 eV per atom
**Volume**: 151.10 Å³/f.u.
**Space-group type**: Cmcm, No. 63
**E above lowest polymorph**: 0.119 eV per atom

abc: 7.237 7.237 10.941
angles: 90.00 90.00 148.17
Element x y z (fractional)
Ba1 0.228 0.772 0.750
Ba2 0.772 0.228 0.250
Zn1 0.000 0.000 0.000
Zn2 0.000 0.000 0.500
Hg1 0.490 0.510 0.250
Hg2 0.510 0.490 0.750
S1 0.103 0.897 0.250
S2 0.386 0.614 0.057
S3 0.386 0.614 0.443
S4 0.614 0.386 0.557
S5 0.614 0.386 0.943
S6 0.897 0.103 0.750

---

15.
First-principles (GGA-PBE) data for Nd2InReO6 after structural relaxation, as listed in OQMD.

Values from the calculation:
**Raw total energy**: -7.500 eV per atom
**Volume**: 130.18 Å³/f.u.
**Space-group type**: I4/m, No. 87

abc: 5.738 5.738 5.738
angles: 121.61 121.61 87.24
Element x y z (fractional)
Nd1 0.250 0.750 0.500
Nd2 0.750 0.250 0.500
In1 0.000 0.000 0.000
Re1 0.500 0.500 0.000
O1 0.176 0.336 0.511
O2 0.254 0.254 0.000
O3 0.336 0.824 0.160
O4 0.664 0.176 0.840
O5 0.746 0.746 0.000
O6 0.824 0.664 0.489

---

16.
First-principles (GGA-PBE) data for CoB2Mo3 after structural relaxation, as listed in OQMD.

Values from the calculation:
**Raw total energy**: -8.864 eV per atom
**Volume**: 73.36 Å³/f.u.
**Space-group type**: P6_3/mmc, No. 194

abc: 3.085 3.085 17.795
angles: 90.00 90.00 120.00
Element x y z (fractional)
Co1 0.000 0.000 0.250
Co2 0.000 0.000 0.750
B1 0.333 0.667 0.075
B2 0.333 0.667 0.425
B3 0.667 0.333 0.575
B4 0.667 0.333 0.925
Mo1 0.000 0.000 0.000
Mo2 0.000 0.000 0.500
Mo3 0.333 0.667 0.643
Mo4 0.333 0.667 0.857
Mo5 0.667 0.333 0.143
Mo6 0.667 0.333 0.357

---

17.
First-principles (GGA-PBE) data for LiYAsAu after structural relaxation, as listed in OQMD.

Values from the calculation:
**Raw total energy**: -4.915 eV per atom
**Volume**: 81.35 Å³/f.u.
**Space-group type**: F-43m, No. 216
**E above lowest polymorph**: 0.000 eV per atom

abc: 4.864 4.864 4.864
angles: 60.00 60.00 60.00
Element x y z (fractional)
Li1 0.000 0.000 0.000
Y1 0.500 0.500 0.500
As1 0.250 0.250 0.250
Au1 0.750 0.750 0.750

---

18.
First-principles (GGA-PBE) data for NaZr2CdF11 after structural relaxation, as listed in OQMD.

Values from the calculation:
**Raw total energy**: -5.892 eV per atom
**Volume**: 198.82 Å³/f.u.
**Space-group type**: C2/m, No. 12

abc: 5.371 5.371 7.738
angles: 108.01 108.01 75.38
Element x y z (fractional)
Na1 0.000 0.000 0.000
Zr1 0.468 0.468 0.758
Zr2 0.532 0.532 0.242
Cd1 0.000 0.000 0.500
F1 0.112 0.688 0.659
F2 0.224 0.224 0.758
F3 0.281 0.281 0.136
F4 0.312 0.888 0.341
F5 0.319 0.681 0.000
F6 0.500 0.500 0.500
F7 0.681 0.319 0.000
F8 0.688 0.112 0.659
F9 0.719 0.719 0.864
F10 0.776 0.776 0.242
F11 0.888 0.312 0.341

---

19.
First-principles (GGA-PBE) data for Lu2MgC4 after structural relaxation, as listed in OQMD.

Values from the calculation:
**Raw total energy**: -5.600 eV per atom
**Volume**: 94.59 Å³/f.u.
**Space-group type**: I4/mmm, No. 139

abc: 6.680 6.680 6.680
angles: 145.63 145.63 49.40
Element x y z (fractional)
Lu1 0.135 0.135 0.000
Lu2 0.865 0.865 0.000
Mg1 0.500 0.500 0.000
C1 0.000 0.500 0.500
C2 0.325 0.325 0.000
C3 0.500 0.000 0.500
C4 0.675 0.675 0.000

---

20.
First-principles (GGA-PBE) data for CsErU after structural relaxation, as listed in OQMD.

Values from the calculation:
**Raw total energy**: -3.570 eV per atom
**Volume**: 108.47 Å³/f.u.
**Space-group type**: F-43m, No. 216
**E above lowest polymorph**: 0.072 eV per atom

abc: 5.353 5.353 5.353
angles: 60.00 60.00 60.00
Element x y z (fractional)
Cs1 0.000 0.000 0.000
Er1 0.750 0.750 0.750
U1 0.250 0.250 0.250

---

21.
First-principles (GGA-PBE) data for HfAlGaIr after structural relaxation, as listed in OQMD.

Values from the calculation:
**Raw total energy**: -6.969 eV per atom
**Volume**: 65.64 Å³/f.u.
**Space-group type**: I-4m2, No. 119

abc: 4.557 4.557 4.557
angles: 121.21 121.21 87.91
Element x y z (fractional)
Hf1 0.000 0.000 0.000
Al1 0.500 0.500 0.000
Ga1 0.250 0.750 0.500
Ir1 0.750 0.250 0.500

---

22.
First-principles (GGA-PBE) data for PuPaCu after structural relaxation, as listed in OQMD.

Values from the calculation:
**Raw total energy**: -8.641 eV per atom
**Volume**: 58.12 Å³/f.u.
**Formation energy**: 0.472 eV/atom
**Space-group type**: F-43m, No. 216
**E above lowest polymorph**: 0.000 eV per atom

abc: 4.348 4.348 4.348
angles: 60.00 60.00 60.00
Element x y z (fractional)
Pu1 0.000 0.000 0.000
Pa1 0.250 0.250 0.250
Cu1 0.750 0.750 0.750

---

23.
First-principles (GGA-PBE) data for YHf2N3 after structural relaxation, as listed in OQMD.

Values from the calculation:
**Raw total energy**: -10.322 eV per atom
**Volume**: 74.49 Å³/f.u.
**Space-group type**: P-3m1, No. 164

abc: 3.263 3.263 8.077
angles: 90.00 90.00 120.00
Element x y z (fractional)
Y1 0.000 0.000 0.000
Hf1 0.333 0.667 0.338
Hf2 0.667 0.333 0.662
N1 0.000 0.000 0.500
N2 0.333 0.667 0.812
N3 0.667 0.333 0.188

---

24.
First-principles (GGA-PBE) data for TbLuZnTe3 after structural relaxation, as listed in OQMD.

Values from the calculation:
**Raw total energy**: -4.209 eV per atom
**Volume**: 161.95 Å³/f.u.
**Space-group type**: Cmcm, No. 63

abc: 7.844 7.844 10.461
angles: 90.00 90.00 149.78
Element x y z (fractional)
Tb1 0.000 0.000 0.000
Tb2 0.000 0.000 0.500
Lu1 0.226 0.774 0.750
Lu2 0.774 0.226 0.250
Zn1 0.479 0.521 0.250
Zn2 0.521 0.479 0.750
Te1 0.120 0.880 0.250
Te2 0.347 0.653 0.055
Te3 0.347 0.653 0.445
Te4 0.653 0.347 0.555
Te5 0.653 0.347 0.945
Te6 0.880 0.120 0.750